Entry 1:
CsPPdS2 after structural relaxation. Source: Alexandria, functional PBE.

VASP energy = -3.8341 eV/atom
ΔE to the lowest computed polymorph = 0 meV/atom
Formation energy without anion corrections = 0.11 eV per atom

Geometry as CIF:
```
data_CsPPdS2
_chemical_formula_sum 'Cs1 P1 Pd1 S2'
_cell_length_a 5.197
_cell_length_b 5.197
_cell_length_c 4.542
_cell_angle_alpha 90.00
_cell_angle_beta 90.00
_cell_angle_gamma 90.00
_symmetry_space_group_name_H-M 'P 4/m m m'
_symmetry_Int_Tables_number 123
_symmetry_space_group_name_Hall '-P 4 2'
loop_
_atom_site_label
_atom_site_type_symbol
_atom_site_fract_x
_atom_site_fract_y
_atom_site_fract_z
Cs1 Cs 0.000 0.000 0.000
P1 P 0.500 0.500 0.000
Pd1 Pd 0.500 0.500 0.500
S1 S 0.000 0.500 0.500
```

=====

Entry 2:
CsPPdS2 after structural relaxation. Source: Alexandria, functional PBE.

VASP energy = -2.0873 eV/atom
ΔE to the lowest computed polymorph = 1747 meV/atom
Formation energy without anion corrections = 1.85 eV per atom

Geometry as CIF:
```
data_CsPPdS2
_chemical_formula_sum 'Cs1 P1 Pd1 S2'
_cell_length_a 5.430
_cell_length_b 5.430
_cell_length_c 5.800
_cell_angle_alpha 90.00
_cell_angle_beta 90.00
_cell_angle_gamma 90.00
_symmetry_space_group_name_H-M 'P 4/m m m'
_symmetry_Int_Tables_number 123
_symmetry_space_group_name_Hall '-P 4 2'
loop_
_atom_site_label
_atom_site_type_symbol
_atom_site_fract_x
_atom_site_fract_y
_atom_site_fract_z
Cs1 Cs 0.000 0.000 0.000
P1 P 0.000 0.000 0.500
Pd1 Pd 0.500 0.500 0.500
S1 S 0.000 0.500 0.000
```

=====

Entry 3:
Cs4P2PdSe8 after structural relaxation. Source: Alexandria, functional PBE.

VASP energy = -3.9120 eV/atom
Formation energy without anion corrections = -0.76 eV per atom

Geometry as CIF:
```
data_Cs4P2PdSe8
_chemical_formula_sum 'Cs8 P4 Pd2 Se16'
_cell_length_a 7.702
_cell_length_b 13.944
_cell_length_c 10.433
_cell_angle_alpha 90.00
_cell_angle_beta 94.37
_cell_angle_gamma 90.00
_symmetry_space_group_name_H-M 'P 1 21/c 1'
_symmetry_Int_Tables_number 14
loop_
_symmetry_equiv_pos_as_xyz
'x,y,z'
'-x,-y,-z'
'-x,y+1/2,-z+1/2'
'x,-y+1/2,z+1/2'
loop_
_atom_site_label
_atom_site_type_symbol
_atom_site_fract_x
_atom_site_fract_y
_atom_site_fract_z
Cs1 Cs 0.176 0.129 0.168
Cs2 Cs 0.277 0.648 0.970
P1 P 0.238 0.083 0.757
Pd1 Pd 0.500 0.000 0.000
Se1 Se 0.008 0.630 0.670
Se2 Se 0.240 0.110 0.551
Se3 Se 0.307 0.570 0.322
Se4 Se 0.477 0.147 0.867
```

=====

Entry 4:
CsP2PdSe8 after structural relaxation. Source: Alexandria, functional PBE.

VASP energy = -3.9261 eV/atom
Formation energy without anion corrections = -0.20 eV per atom

Geometry as CIF:
```
data_CsP2PdSe8
_chemical_formula_sum 'Cs3 P6 Pd3 Se24'
_cell_length_a 5.9514
_cell_length_b 5.9514
_cell_length_c 35.2150
_cell_angle_alpha 90.00
_cell_angle_beta 90.00
_cell_angle_gamma 120.00
_symmetry_space_group_name_H-M 'R -3'
_symmetry_Int_Tables_number 148
_symmetry_space_group_name_Hall '-R 3'
loop_
_atom_site_label
_atom_site_type_symbol
_atom_site_fract_x
_atom_site_fract_y
_atom_site_fract_z
Cs1 Cs 0.0000 0.0000 0.0000
P1 P 0.0000 0.0000 0.2336
Pd1 Pd 0.0000 0.0000 0.5000
Se1 Se 0.0000 0.0000 0.2948
Se2 Se 0.0212 0.7111 0.1212
```

=====

Entry 5:
Cs2P2PdSe6 after structural relaxation. Source: Alexandria, functional PBE.

VASP energy = -3.9324 eV/atom
Formation energy without anion corrections = -0.42 eV per atom

Geometry as CIF:
```
data_Cs2P2PdSe6
_chemical_formula_sum 'Cs6 P6 Pd3 Se18'
_cell_length_a 7.3140
_cell_length_b 7.3140
_cell_length_c 22.8302
_cell_angle_alpha 90.00
_cell_angle_beta 90.00
_cell_angle_gamma 120.00
_symmetry_space_group_name_H-M 'R -3 m'
_symmetry_Int_Tables_number 166
_symmetry_space_group_name_Hall '-R 3 2"'
loop_
_atom_site_label
_atom_site_type_symbol
_atom_site_fract_x
_atom_site_fract_y
_atom_site_fract_z
Cs1 Cs 0.0000 0.0000 0.2319
P1 P 0.0000 0.0000 0.4175
Pd1 Pd 0.0000 0.0000 0.0000
Se1 Se 0.0135 0.5067 0.7426
```

=====

Entry 6:
Cs10P4PdSe16 after structural relaxation. Source: Alexandria, functional PBE.

VASP energy = -3.7904 eV/atom
Formation energy without anion corrections = -0.85 eV per atom

Geometry as CIF:
```
data_Cs10P4PdSe16
_chemical_formula_sum 'Cs20 P8 Pd2 Se32'
_cell_length_a 14.238
_cell_length_b 14.238
_cell_length_c 11.832
_cell_angle_alpha 90.00
_cell_angle_beta 90.00
_cell_angle_gamma 90.00
_symmetry_space_group_name_H-M 'P 42/m m c'
_symmetry_Int_Tables_number 131
_symmetry_space_group_name_Hall '-P 4c 2'
loop_
_atom_site_label
_atom_site_type_symbol
_atom_site_fract_x
_atom_site_fract_y
_atom_site_fract_z
Cs1 Cs 0.000 0.148 0.000
Cs2 Cs 0.000 0.500 0.299
Cs3 Cs 0.242 0.242 0.250
Cs4 Cs 0.341 0.500 0.500
P1 P 0.000 0.259 0.500
P2 P 0.239 0.500 0.000
Pd1 Pd 0.000 0.500 0.000
Se1 Se 0.000 0.170 0.345
Se2 Se 0.128 0.350 0.500
Se3 Se 0.129 0.383 0.000
Se4 Se 0.325 0.500 0.153
```